A geometry-optimized Ba5Na2Sr2Li structure. Source: Alexandria via LeMat-Bulk, functional PBE.

Cell lengths 4.5882, 15.3142, 15.3142 Å; angles 90.00, 90.00, 90.00 degrees
With the nearest neighbours (Å) after each atom.
Fractional coordinates of all 20 atoms:
Ba  0.5000  0.1902  0.0427  2 Li 3.76, 2 Na 3.78
Ba  0.5000  0.8098  0.9573  2 Li 3.76, 2 Na 3.78
Ba  0.5000  0.0427  0.8098  2 Li 3.76, 2 Na 3.78
Ba  0.5000  0.6902  0.4573  2 Li 3.76, 2 Na 3.78
Ba  0.5000  0.9573  0.1902  2 Li 3.76, 2 Na 3.78
Ba  0.5000  0.3098  0.5427  2 Li 3.76, 2 Na 3.78
Ba  0.5000  0.5427  0.6902  2 Li 3.76, 2 Na 3.78
Ba  0.5000  0.4573  0.3098  2 Li 3.76, 2 Na 3.78
Ba  0.5000  0.5000  0.0000  4 Na 3.78
Ba  0.5000  0.0000  0.5000  4 Na 3.78
Na  0.0000  0.1390  0.6390  6 Ba 3.78, 1 Sr 3.88
Na  0.0000  0.8610  0.3610  6 Ba 3.78, 1 Sr 3.88
Na  0.0000  0.6390  0.8610  6 Ba 3.78, 1 Sr 3.88
Na  0.0000  0.3610  0.1390  6 Ba 3.78, 1 Sr 3.88
Sr  0.0000  0.6818  0.1818  1 Na 3.88
Sr  0.0000  0.3182  0.8182  1 Na 3.88
Sr  0.0000  0.1818  0.3182  1 Na 3.88
Sr  0.0000  0.8182  0.6818  1 Na 3.88
Li  0.0000  0.0000  0.0000  8 Ba 3.76
Li  0.0000  0.5000  0.5000  8 Ba 3.76

Computed properties:
Density of states at the Fermi level, states/eV per cell: 29.65
ΔE_f, meV/atom: 63